Record 1
Density functional theory data (PBE) for crystalline Ac2Sn4Rh5 at its relaxed geometry.

abc: 6.062 6.000 8.492
angles: 79.61 69.09 59.66
Positions (direct):
Rh  0.250  0.500  0.500
Rh  0.000  0.500  0.000
Rh  0.500  0.500  0.000
Rh  0.750  0.500  0.500
Rh  0.500  0.000  0.000
Ac  0.872  0.000  0.255
Ac  0.128  0.000  0.745
Sn  0.531  0.680  0.258
Sn  0.211  0.320  0.258
Sn  0.469  0.320  0.742
Sn  0.789  0.680  0.742

**Energy of formation from the pure elements**: -0.65 eV/atom
**VASP energy**: -6.19 eV/atom
**Magnetic moment**: 0.000 μB per atom
**DOS(E_F)**: 0.408 states/eV per atom
**Crystal system**: orthorhombic

Record 2
Density functional theory data (PBE) for crystalline Li2Ac3Mg2Tl4 at its relaxed geometry.

abc: 5.105 5.105 14.994
angles: 90.00 90.00 120.00
Positions (direct):
Mg  0.333  0.667  0.565
Mg  0.667  0.333  0.435
Tl  0.333  0.667  0.370
Tl  0.333  0.667  0.872
Tl  0.667  0.333  0.630
Tl  0.667  0.333  0.128
Ac  0.000  0.000  0.000
Ac  0.000  0.000  0.734
Ac  0.000  0.000  0.266
Li  0.333  0.667  0.141
Li  0.667  0.333  0.859

**Energy of formation from the pure elements**: -0.19 eV/atom
**VASP energy**: -2.81 eV/atom
**Magnetic moment**: 0.000 μB per atom
**DOS(E_F)**: 1.034 states/eV per atom
**Crystal system**: trigonal